Entry from Alexandria via LeMat-Bulk: a geometry-optimized BaGe2IN structure (PBE).

Computed properties:
space-group type	P4/mmm

Unit cell a=4.6393 b=4.6393 c=5.9160 alpha=90.00 beta=90.00 gamma=90.00
Fractional positions:
Ba: 0.0000 0.0000 0.0000
Ge: 0.0000 0.5000 0.5000
Ge: 0.5000 0.0000 0.5000
I: 0.5000 0.5000 0.0000
N: 0.0000 0.0000 0.5000

---

Entry from Alexandria via LeMat-Bulk: a geometry-optimized Ba2NiGeI structure (PBE).

Computed properties:
space-group type	P4/mmm

Unit cell a=6.2056 b=6.2056 c=4.4698 alpha=90.00 beta=90.00 gamma=90.00
Fractional positions:
Ba: 0.0000 0.5000 0.0000
Ba: 0.5000 0.0000 0.0000
Ni: 0.0000 0.0000 0.0000
Ge: 0.0000 0.0000 0.5000
I: 0.5000 0.5000 0.5000

---

Entry from Alexandria via LeMat-Bulk: a geometry-optimized BaGe2IO structure (PBE).

Computed properties:
space-group type	P4/mmm

Unit cell a=5.8304 b=5.8304 c=4.1544 alpha=90.00 beta=90.00 gamma=90.00
Fractional positions:
Ba: 0.0000 0.0000 0.0000
Ge: 0.0000 0.5000 0.5000
Ge: 0.5000 0.0000 0.5000
I: 0.5000 0.5000 0.5000
O: 0.5000 0.5000 0.0000

---

Entry from Alexandria via LeMat-Bulk: a geometry-optimized BaGeIO2 structure (PBE).

Computed properties:
space-group type	P4/mmm

Unit cell a=4.5481 b=4.5481 c=7.2158 alpha=90.00 beta=90.00 gamma=90.00
Fractional positions:
Ba: 0.0000 0.0000 0.0000
Ge: 0.5000 0.5000 0.5000
I: 0.0000 0.0000 0.5000
O: 0.0000 0.5000 0.0000
O: 0.5000 0.0000 0.0000

---

Entry from Alexandria via LeMat-Bulk: a geometry-optimized BaGeIO2 structure (PBE).

Computed properties:
space-group type	P4/mmm

Unit cell a=4.4976 b=4.4976 c=5.4054 alpha=90.00 beta=90.00 gamma=90.00
Fractional positions:
Ba: 0.0000 0.0000 0.0000
Ge: 0.5000 0.5000 0.5000
I: 0.5000 0.5000 0.0000
O: 0.0000 0.5000 0.5000
O: 0.5000 0.0000 0.5000

---

Entry from Alexandria via LeMat-Bulk: a geometry-optimized Ba8GeP3I3 structure (PBE).

Computed properties:
space-group type	R-3m

Unit cell a=10.1005 b=10.1005 c=10.1005 alpha=56.61 beta=56.61 gamma=56.61
Fractional positions:
Ba: 0.2311 0.7333 0.7333
Ba: 0.2323 0.2323 0.2323
Ba: 0.2667 0.2667 0.7689
Ba: 0.2667 0.7689 0.2667
Ba: 0.7333 0.2311 0.7333
Ba: 0.7333 0.7333 0.2311
Ba: 0.7677 0.7677 0.7677
Ba: 0.7689 0.2667 0.2667
Ge: 0.5000 0.5000 0.5000
P: 0.0000 0.0000 0.5000
P: 0.0000 0.5000 0.0000
P: 0.5000 0.0000 0.0000
I: 0.0000 0.5000 0.5000
I: 0.5000 0.0000 0.5000
I: 0.5000 0.5000 0.0000

---

Entry from Alexandria via LeMat-Bulk: a geometry-optimized Ba6GeP2I3 structure (PBE).

Computed properties:
space-group type	C2/m

Unit cell a=8.3439 b=8.3439 c=8.8880 alpha=99.01 beta=99.01 gamma=120.02
Fractional positions:
Ba: 0.0887 0.4325 0.7975
Ba: 0.2238 0.2238 0.2024
Ba: 0.4325 0.0887 0.7975
Ba: 0.5675 0.9113 0.2025
Ba: 0.7762 0.7762 0.7976
Ba: 0.9113 0.5675 0.2025
Ge: 0.5000 0.5000 0.0000
P: 0.1667 0.8333 0.0000
P: 0.8333 0.1667 0.0000
I: 0.0000 0.0000 0.5000
I: 0.3345 0.6655 0.5000
I: 0.6655 0.3345 0.5000

---

Entry from Alexandria via LeMat-Bulk: a geometry-optimized Ba8GePd3I4 structure (PBE).

Computed properties:
space-group type	R-3m

Unit cell a=10.2427 b=10.2427 c=10.2427 alpha=55.11 beta=55.11 gamma=55.11
Fractional positions:
Ba: 0.2313 0.7343 0.7343
Ba: 0.2376 0.2376 0.2376
Ba: 0.2657 0.2657 0.7687
Ba: 0.2657 0.7687 0.2657
Ba: 0.7343 0.2313 0.7343
Ba: 0.7343 0.7343 0.2313
Ba: 0.7624 0.7624 0.7624
Ba: 0.7687 0.2657 0.2657
Ge: 0.5000 0.5000 0.5000
Pd: 0.0000 0.0000 0.5000
Pd: 0.0000 0.5000 0.0000
Pd: 0.5000 0.0000 0.0000
I: 0.0000 0.0000 0.0000
I: 0.0000 0.5000 0.5000
I: 0.5000 0.0000 0.5000
I: 0.5000 0.5000 0.0000

---

Entry from Alexandria via LeMat-Bulk: a geometry-optimized Ba6GePd2I3 structure (PBE).

Computed properties:
space-group type	C2/m

Unit cell a=8.2678 b=8.2678 c=9.0346 alpha=98.81 beta=98.81 gamma=120.03
Fractional positions:
Ba: 0.0979 0.4317 0.7965
Ba: 0.2346 0.2346 0.2042
Ba: 0.4317 0.0979 0.7965
Ba: 0.5683 0.9021 0.2035
Ba: 0.7654 0.7654 0.7958
Ba: 0.9021 0.5683 0.2035
Ge: 0.5000 0.5000 0.0000
Pd: 0.1667 0.8333 0.0000
Pd: 0.8333 0.1667 0.0000
I: 0.0000 0.0000 0.5000
I: 0.3340 0.6660 0.5000
I: 0.6660 0.3340 0.5000

---

Entry from Alexandria via LeMat-Bulk: a geometry-optimized Ba6GePt2I3 structure (PBE).

Computed properties:
space-group type	C2/m

Unit cell a=8.2011 b=8.2011 c=9.0269 alpha=98.75 beta=98.75 gamma=120.03
Fractional positions:
Ba: 0.0939 0.4325 0.7986
Ba: 0.2290 0.2290 0.2019
Ba: 0.4325 0.0939 0.7986
Ba: 0.5675 0.9061 0.2014
Ba: 0.7710 0.7710 0.7981
Ba: 0.9061 0.5675 0.2014
Ge: 0.5000 0.5000 0.0000
Pt: 0.1667 0.8333 0.0000
Pt: 0.8333 0.1667 0.0000
I: 0.0000 0.0000 0.5000
I: 0.3348 0.6652 0.5000
I: 0.6652 0.3348 0.5000

---

Entry from Alexandria via LeMat-Bulk: a geometry-optimized Rb2BaGeI6 structure (PBE).

Computed properties:
space-group type	P2_1/c

Unit cell a=8.5536 b=9.0146 c=14.9190 alpha=90.00 beta=124.01 gamma=90.00
Fractional positions:
Rb: 0.2163 0.0801 0.2454
Rb: 0.2163 0.4199 0.7454
Rb: 0.7837 0.5801 0.2546
Rb: 0.7837 0.9199 0.7546
Ba: 0.5000 0.0000 0.0000
Ba: 0.5000 0.5000 0.5000
Ge: 0.0000 0.0000 0.5000
Ge: 0.0000 0.5000 0.0000
I: 0.1179 0.2140 0.9425
I: 0.1179 0.2860 0.4425
I: 0.2350 0.6820 0.9448
I: 0.2350 0.8180 0.4448
I: 0.3423 0.0296 0.7317
I: 0.3423 0.4704 0.2317
I: 0.6577 0.5296 0.7683
I: 0.6577 0.9704 0.2683
I: 0.7650 0.1820 0.5552
I: 0.7650 0.3180 0.0552
I: 0.8821 0.7140 0.5575
I: 0.8821 0.7860 0.0575

---

Entry from Alexandria via LeMat-Bulk: a geometry-optimized Rb2BaGeI6 structure (PBE).

Computed properties:
space-group type	Fm-3m

Unit cell a=8.9904 b=8.9904 c=8.9904 alpha=60.00 beta=60.00 gamma=60.00
Fractional positions:
Rb: 0.2500 0.2500 0.2500
Rb: 0.7500 0.7500 0.7500
Ba: 0.0000 0.0000 0.0000
Ge: 0.5000 0.5000 0.5000
I: 0.2648 0.2648 0.7352
I: 0.2648 0.7352 0.2648
I: 0.2648 0.7352 0.7352
I: 0.7352 0.2648 0.2648
I: 0.7352 0.2648 0.7352
I: 0.7352 0.7352 0.2648

---

| no. | uncorrected formation energy (kJ/mol of atoms) | total magnetic moment (μB per cell) |
| --- | --- | --- |
| 1 | 6.33 | 0.00 |
| 2 | -70.83 | 0.00 |
| 3 | 16.34 | 0.00 |
| 4 | -20.76 | 0.76 |
| 5 | -85.72 | 0.00 |
| 6 | -114.44 | 0.02 |
| 7 | -120.57 | 1.06 |
| 8 | -97.09 | 0.00 |
| 9 | -97.01 | 0.00 |
| 10 | -106.75 | 0.00 |
| 11 | -116.41 | 0.00 |
| 12 | -111.02 | 0.00 |